The following is a PBE calculation of an optimized crystal structure of Pt3RhF, from Alexandria via LeMat-Bulk.

Structure (POSCAR):
```
Pt3RhF
1.0
4.3312 0.0000 0.0000
0.0000 4.3312 0.0000
0.0000 0.0000 4.3312
Pt Rh F
3 1 1
Direct
0.0000 0.0000 0.5000
0.0000 0.5000 0.0000
0.5000 0.0000 0.0000
0.5000 0.5000 0.5000
0.0000 0.0000 0.0000
```

Properties
Energy relative to the elements, uncorrected, eV per atom: 0.9453

The following is a PBE calculation of an optimized crystal structure of TaTlN2O, from Alexandria via LeMat-Bulk.

Structure (POSCAR):
```
TaTlN2O
1.0
4.1838 0.0000 0.0000
0.0000 4.1838 0.0000
0.0000 0.0000 3.9692
Ta Tl N O
1 1 2 1
Direct
0.0000 0.0000 0.0000
0.5000 0.5000 0.5000
0.0000 0.5000 0.0000
0.5000 0.0000 0.0000
0.0000 0.0000 0.5000
```

Properties
Energy relative to the elements, uncorrected, eV per atom: -0.4501

The following is a PBE calculation of an optimized crystal structure of La4Pm5Pr3, from Alexandria via LeMat-Bulk.

Structure (POSCAR):
```
La4Pm5Pr3
1.0
8.2945 -3.0785 0.0000
8.2945 3.0785 0.0000
-4.2311 0.0000 8.5757
La Pm Pr
4 5 3
Direct
0.0836 0.0836 0.4401
0.2112 0.2112 0.8783
0.7888 0.7888 0.1217
0.9164 0.9164 0.5599
0.0000 0.0000 0.0000
0.3286 0.3286 0.6094
0.4273 0.4273 0.3019
0.5727 0.5727 0.6981
0.6714 0.6714 0.3906
0.2091 0.2091 0.2250
0.5000 0.5000 0.0000
0.7909 0.7909 0.7750
```

Properties
Formation energy, meV/atom: 186

The following is a PBE calculation of an optimized crystal structure of NaPrNiPb, from Alexandria via LeMat-Bulk.

Structure (POSCAR):
```
NaPrNiPb
1.0
0.0000 3.5176 3.5176
3.5176 0.0000 3.5176
3.5176 3.5176 0.0000
Na Pr Ni Pb
1 1 1 1
Direct
0.0000 0.0000 0.0000
0.7500 0.7500 0.7500
0.5000 0.5000 0.5000
0.2500 0.2500 0.2500
```

Properties
Formation energy, meV/atom: -160

The following is a PBE calculation of an optimized crystal structure of PmEu3Ni, from Alexandria via LeMat-Bulk.

Structure (POSCAR):
```
PmEu3Ni
1.0
5.6004 0.0000 0.0000
0.0000 5.6004 0.0000
0.0000 0.0000 5.6004
Pm Eu Ni
1 3 1
Direct
0.0000 0.0000 0.0000
0.0000 0.5000 0.5000
0.5000 0.0000 0.5000
0.5000 0.5000 0.0000
0.5000 0.5000 0.5000
```

Properties
Formation energy, meV/atom: 82

The following is a PBE calculation of an optimized crystal structure of SiTeAsN2, from Alexandria via LeMat-Bulk.

Structure (POSCAR):
```
SiTeAsN2
1.0
3.6253 0.0000 0.0000
0.0000 3.6253 0.0000
0.0000 0.0000 7.5072
Si Te As N
1 1 1 2
Direct
0.0000 0.0000 0.0000
0.0000 0.0000 0.5000
0.5000 0.5000 0.5000
0.0000 0.5000 0.0000
0.5000 0.0000 0.0000
```

Properties
Energy relative to the elements, uncorrected, eV per atom: 0.8805

The following is a PBE calculation of an optimized crystal structure of Ba2ThNpO6, from Alexandria via LeMat-Bulk.

Structure (POSCAR):
```
Ba2ThNpO6
1.0
6.3608 0.0000 0.0000
0.0000 9.0141 0.0000
0.0000 0.0000 6.4406
Ba Th Np O
4 2 2 12
Direct
0.2500 0.0081 0.2215
0.2500 0.4919 0.2215
0.7500 0.5081 0.7785
0.7500 0.9919 0.7785
0.2500 0.2500 0.7385
0.7500 0.7500 0.2615
0.2500 0.7500 0.7553
0.7500 0.2500 0.2447
0.0025 0.2500 0.4808
0.0034 0.7500 0.0026
0.2500 0.5035 0.7817
0.2500 0.9965 0.7817
0.4975 0.2500 0.4808
0.4966 0.7500 0.0026
0.5034 0.2500 0.9974
0.5025 0.7500 0.5192
0.7500 0.0035 0.2183
0.7500 0.4965 0.2183
0.9966 0.2500 0.9974
0.9975 0.7500 0.5192
```

Properties
Energy relative to the elements, uncorrected, eV per atom: -3.0939

The following is a PBE calculation of an optimized crystal structure of Mn3BeIn, from Alexandria via LeMat-Bulk.

Structure (POSCAR):
```
Mn3BeIn
1.0
4.9528 0.0000 0.0000
0.0000 4.9528 0.0000
0.0000 0.0000 4.9528
Mn Be In
3 1 1
Direct
0.0000 0.0000 0.5000
0.0000 0.5000 0.0000
0.5000 0.0000 0.0000
0.5000 0.5000 0.5000
0.0000 0.0000 0.0000
```

Properties
Formation energy, meV/atom: 1650

The following is a PBE calculation of an optimized crystal structure of PrGdZnGe, from Alexandria via LeMat-Bulk.

Structure (POSCAR):
```
PrGdZnGe
1.0
0.0000 3.6475 3.6475
3.6475 0.0000 3.6475
3.6475 3.6475 0.0000
Pr Gd Zn Ge
1 1 1 1
Direct
0.0000 0.0000 0.0000
0.5000 0.5000 0.5000
0.2500 0.2500 0.2500
0.7500 0.7500 0.7500
```

Properties
Formation energy, meV/atom: -517

The following is a PBE calculation of an optimized crystal structure of Tm4ThAu5, from Alexandria via LeMat-Bulk.

Structure (POSCAR):
```
Tm4ThAu5
1.0
3.5345 0.0000 0.0000
0.0000 3.5345 0.0000
0.0000 0.0000 18.3801
Tm Th Au
4 1 5
Direct
0.0000 0.0000 0.0977
0.0000 0.0000 0.2923
0.0000 0.0000 0.7077
0.0000 0.0000 0.9023
0.0000 0.0000 0.5000
0.5000 0.5000 0.0000
0.5000 0.5000 0.1949
0.5000 0.5000 0.3851
0.5000 0.5000 0.6149
0.5000 0.5000 0.8051
```

Properties
Formation energy, meV/atom: -828